(1)
The following is a PBE-GGA calculation of a relaxed structure of CsK2NaCa, from the Alexandria database.

## Properties
As for the formation enthalpy at 0 K: 0.286 eV/atom.

abc: 7.6645 6.9493 7.6645
angles: 90.00 90.00 90.00
With the nearest neighbours (Å) after each atom.
Fractional coordinates of all 5 atoms:
1 Cs 0.5000 0.5000 0.5000  8 K 5.17, 4 Na 5.42
2 K 0.0000 0.0000 0.5000  2 Ca 3.83
3 K 0.5000 0.0000 0.0000  2 Ca 3.83
4 Ca 0.0000 0.0000 0.0000  2 Na 3.47, 4 K 3.83
5 Na 0.0000 0.5000 0.0000  2 Ca 3.47

(2)
The following is a PBE-GGA calculation of a relaxed structure of CsKCaPb, from the Alexandria database.

## Properties
As for the formation enthalpy at 0 K: -0.092 eV/atom.

abc: 6.1237 6.1237 6.1237
angles: 60.00 60.00 60.00
With the nearest neighbours (Å) after each atom.
Fractional coordinates of all 4 atoms:
1 Ca 0.5000 0.5000 0.5000  4 Cs 3.75, 4 Pb 3.75
2 K 0.0000 0.0000 0.0000  4 Pb 3.75, 4 Cs 3.75
3 Pb 0.2500 0.2500 0.2500  4 Ca 3.75, 4 K 3.75
4 Cs 0.7500 0.7500 0.7500  4 Ca 3.75, 4 K 3.75

(3)
The following is a PBE-GGA calculation of a relaxed structure of CsKRbCa, from the Alexandria database.

## Properties
As for the formation enthalpy at 0 K: 0.168 eV/atom.

abc: 7.4330 7.4330 7.4330
angles: 60.00 60.00 60.00
With the nearest neighbours (Å) after each atom.
Fractional coordinates of all 4 atoms:
1 K 0.2500 0.2500 0.2500  4 Ca 4.55, 4 Cs 4.55
2 Rb 0.7500 0.7500 0.7500  4 Ca 4.55, 4 Cs 4.55
3 Cs 0.0000 0.0000 0.0000  4 K 4.55, 4 Rb 4.55
4 Ca 0.5000 0.5000 0.5000  4 K 4.55, 4 Rb 4.55

(4)
The following is a PBE-GGA calculation of a relaxed structure of CsKCa2Rh, from the Alexandria database.

## Properties
As for the formation enthalpy at 0 K: 0.061 eV/atom.

abc: 5.6441 5.6441 6.7700
angles: 90.00 90.00 90.00
With the nearest neighbours (Å) after each atom.
Fractional coordinates of all 5 atoms:
1 Cs 0.5000 0.5000 0.5000  4 K 3.99, 8 Ca 4.41
2 Rh 0.0000 0.0000 0.0000  4 Ca 2.82
3 Ca 0.0000 0.5000 0.0000  2 Rh 2.82
4 Ca 0.5000 0.0000 0.0000  2 Rh 2.82
5 K 0.0000 0.0000 0.5000  2 Rh 3.38

(5)
The following is a PBE-GGA calculation of a relaxed structure of CsK2CaSb, from the Alexandria database.

## Properties
The formation energy from raw total energies is -0.25 eV per atom.

abc: 7.0147 7.0147 6.1183
angles: 90.00 90.00 90.00
With the nearest neighbours (Å) after each atom.
Fractional coordinates of all 5 atoms:
1 K 0.5000 0.0000 0.0000  2 Sb 3.51
2 K 0.0000 0.5000 0.0000  2 Sb 3.51
3 Cs 0.5000 0.5000 0.5000  8 K 4.65, 4 Ca 4.96
4 Sb 0.0000 0.0000 0.0000  2 Ca 3.06
5 Ca 0.0000 0.0000 0.5000  2 Sb 3.06

(6)
The following is a PBE-GGA calculation of a relaxed structure of CsKSrCa2, from the Alexandria database.

## Properties
As for the formation enthalpy at 0 K: 0.580 eV/atom.

abc: 7.2512 7.8279 7.2512
angles: 90.00 90.00 90.00
With the nearest neighbours (Å) after each atom.
Fractional coordinates of all 5 atoms:
1 K 0.5000 0.5000 0.5000  4 Cs 5.13, 8 Ca 5.34
2 Ca 0.5000 0.0000 0.0000  2 Sr 3.63
3 Ca 0.0000 0.0000 0.5000  2 Sr 3.63
4 Cs 0.0000 0.5000 0.0000  2 Sr 3.91
5 Sr 0.0000 0.0000 0.0000  4 Ca 3.63, 2 Cs 3.91

| no. | total DFT energy (no corrections) (Ry/atom) |
| --- | --- |
| 1 | -0.073 |
| 2 | -0.148 |
| 3 | -0.078 |
| 4 | -0.191 |
| 5 | -0.154 |
| 6 | -0.070 |